Entry from the Alexandria database: an optimized crystal structure of CaGa2Ir (PBE).

Results
Raw total energy   -155.0 eV/cell

CIF file:
```
data_CaGa2Ir
_chemical_formula_sum 'Ca8 Ga16 Ir8'
_cell_length_a 15.319
_cell_length_b 7.104
_cell_length_c 5.728
_cell_angle_alpha 90.00
_cell_angle_beta 90.00
_cell_angle_gamma 90.00
_space_group_name_H-M_alt 'P n m a'
_space_group_IT_number 62
loop_
_space_group_symop_operation_xyz
'x,y,z'
'-x,-y,-z'
'-x+1/2,-y,z+1/2'
'x+1/2,y,-z+1/2'
'x+1/2,-y+1/2,-z+1/2'
'-x+1/2,y+1/2,z+1/2'
'-x,y+1/2,-z'
'x,-y+1/2,z'
loop_
_atom_site_label
_atom_site_type_symbol
_atom_site_fract_x
_atom_site_fract_y
_atom_site_fract_z
Ca1 Ca 0.100 0.250 0.243
Ca2 Ca 0.136 0.750 0.022
Ga1 Ga 0.044 0.059 0.734
Ga2 Ga 0.211 0.549 0.534
Ir1 Ir 0.071 0.750 0.505
Ir2 Ir 0.190 0.250 0.775
```

---

Entry from the Alexandria database: an optimized crystal structure of PaTlRuO4 (PBE).

Results
ΔE_f (raw)   -1846 meV per atom

CIF file:
```
data_PaTlRuO4
_chemical_formula_sum 'Pa4 Tl4 Ru4 O16'
_cell_length_a 5.431
_cell_length_b 6.960
_cell_length_c 12.686
_cell_angle_alpha 90.00
_cell_angle_beta 90.00
_cell_angle_gamma 90.00
_space_group_name_H-M_alt 'I m m a'
_space_group_IT_number 74
_space_group_name_Hall '-I 2b 2'
loop_
_atom_site_label
_atom_site_type_symbol
_atom_site_fract_x
_atom_site_fract_y
_atom_site_fract_z
Pa1 Pa 0.000 0.000 0.000
Tl1 Tl 0.000 0.250 0.314
Ru1 Ru 0.250 0.250 0.750
O1 O 0.000 0.066 0.824
O2 O 0.233 0.250 0.021
```

---

Entry from the Alexandria database: an optimized crystal structure of Ac4SbAsP2 (PBE).

Results
ΔE_f (raw)   -1382 meV per atom

CIF file:
```
data_Ac4SbAsP2
_chemical_formula_sum 'Ac4 Sb1 As1 P2'
_cell_length_a 7.897
_cell_length_b 4.555
_cell_length_c 7.919
_cell_angle_alpha 90.00
_cell_angle_beta 109.36
_cell_angle_gamma 90.00
_space_group_name_H-M_alt 'P 1 2/m 1'
_space_group_IT_number 10
loop_
_space_group_symop_operation_xyz
'x,y,z'
'-x,-y,-z'
'-x,y,-z'
'x,-y,z'
loop_
_atom_site_label
_atom_site_type_symbol
_atom_site_fract_x
_atom_site_fract_y
_atom_site_fract_z
Ac1 Ac 0.239 0.000 0.235
Ac2 Ac 0.248 0.500 0.760
Sb1 Sb 0.500 0.500 0.500
As1 As 0.000 0.000 0.500
P1 P 0.000 0.500 0.000
P2 P 0.500 0.000 0.000
```

---

Entry from the Alexandria database: an optimized crystal structure of TiInAu (PBE).

Results
Raw total energy   -29.0 eV/cell

CIF file:
```
data_TiInAu
_chemical_formula_sum 'Ti2 In2 Au2'
_cell_length_a 4.795
_cell_length_b 4.832
_cell_length_c 6.097
_cell_angle_alpha 101.14
_cell_angle_beta 113.05
_cell_angle_gamma 90.07
_space_group_name_H-M_alt 'P -1'
_space_group_IT_number 2
loop_
_space_group_symop_operation_xyz
'x,y,z'
'-x,-y,-z'
loop_
_atom_site_label
_atom_site_type_symbol
_atom_site_fract_x
_atom_site_fract_y
_atom_site_fract_z
Ti1 Ti 0.149 0.085 0.298
In1 In 0.000 0.500 0.000
In2 In 0.500 0.000 0.000
Au1 Au 0.265 0.660 0.530
```

---

Entry from the Alexandria database: an optimized crystal structure of PmBiP (PBE).

Results
Energy above the most stable polymorph in this dataset   0.064 eV per atom

CIF file:
```
data_PmBiP
_chemical_formula_sum 'Pm6 Bi6 P6'
_cell_length_a 4.7904
_cell_length_b 4.7904
_cell_length_c 29.6540
_cell_angle_alpha 90.00
_cell_angle_beta 90.00
_cell_angle_gamma 120.00
_space_group_name_H-M_alt 'R -3 m'
_space_group_IT_number 166
_space_group_name_Hall '-R 3 2"'
loop_
_atom_site_label
_atom_site_type_symbol
_atom_site_fract_x
_atom_site_fract_y
_atom_site_fract_z
Pm1 Pm 0.0000 0.0000 0.1182
Bi1 Bi 0.0000 0.0000 0.3599
P1 P 0.0000 0.0000 0.2129
```

---

Entry from the Alexandria database: an optimized crystal structure of ScFe3Ni (PBE).

Results
Energy above the most stable polymorph in this dataset   1.002 eV per atom

CIF file:
```
data_ScFe3Ni
_chemical_formula_sum 'Sc1 Fe3 Ni1'
_cell_length_a 4.340
_cell_length_b 4.340
_cell_length_c 4.340
_cell_angle_alpha 90.00
_cell_angle_beta 90.00
_cell_angle_gamma 90.00
_space_group_name_H-M_alt 'P m -3 m'
_space_group_IT_number 221
_space_group_name_Hall '-P 4 2 3'
loop_
_atom_site_label
_atom_site_type_symbol
_atom_site_fract_x
_atom_site_fract_y
_atom_site_fract_z
Sc1 Sc 0.000 0.000 0.000
Fe1 Fe 0.000 0.000 0.500
Ni1 Ni 0.500 0.500 0.500
```